! CdTeF GGA-PBE relaxed; values from VASP
! Uncorrected formation energy = -82.0 kJ/mol of atoms
! Energy above the most stable polymorph in this dataset = 292 meV/atom
! Final energy = -2.826 eV/atom
&SYSTEM
  ibrav = 0, nat = 3, ntyp = 3
/
ATOMIC_SPECIES
Cd 112.41 Cd.upf
Te 127.60 Te.upf
F 19.00 F.upf
CELL_PARAMETERS angstrom
4.6951 0.0000 0.0000
-2.3424 4.1813 0.0000
-0.0239 -2.4146 4.6400
ATOMIC_POSITIONS crystal
Cd 0.0000 0.0000 0.0000
Te 0.2933 0.5872 0.8471
F 0.2809 0.5621 0.3704